## PuMgAlOs (PBE)

Data for a relaxed PuMgAlOs crystal.

Results
Total magnetic moment, μB/cell: 4.80
E_tot, eV/atom: -7.654
D(E_F), states/eV/cell: 7.9

Lattice parameters (Å, degrees): 4.718 4.718 4.718 60.00 60.00 60.00
Element x y z (fractional)
Pu1 0.000 0.000 0.000
Mg1 0.500 0.500 0.500
Al1 0.750 0.750 0.750
Os1 0.250 0.250 0.250

---

## MgAl2ReOs (PBE)

Data for a relaxed MgAl2ReOs crystal.

Results
Total magnetic moment, μB/cell: 0.00
E_tot, eV/atom: -5.750
D(E_F), states/eV/cell: 3.2

Lattice parameters (Å, degrees): 4.731 4.731 4.796 90.00 90.00 90.00
Element x y z (fractional)
Mg1 0.000 0.000 0.000
Al1 0.000 0.500 0.500
Al2 0.500 0.000 0.500
Re1 0.500 0.500 0.500
Os1 0.500 0.500 0.000

---

## MgAlOsRh (PBE)

Data for a relaxed MgAlOsRh crystal.

Results
Total magnetic moment, μB/cell: 0.00
E_tot, eV/atom: -6.321
D(E_F), states/eV/cell: 4.3

Lattice parameters (Å, degrees): 4.325 4.325 4.325 60.00 60.00 60.00
Element x y z (fractional)
Mg1 0.000 0.000 0.000
Al1 0.500 0.500 0.500
Os1 0.250 0.250 0.250
Rh1 0.750 0.750 0.750

---

## MgAlOsRu2 (PBE)

Data for a relaxed MgAlOsRu2 crystal.

Results
Total magnetic moment, μB/cell: 1.59
E_tot, eV/atom: -6.006
D(E_F), states/eV/cell: 6.6

Lattice parameters (Å, degrees): 4.446 4.446 4.502 90.00 90.00 90.00
Element x y z (fractional)
Mg1 0.000 0.000 0.000
Al1 0.500 0.500 0.500
Os1 0.500 0.500 0.000
Ru1 0.000 0.500 0.500
Ru2 0.500 0.000 0.500

---

## SrMgAl2Os (PBE)

Data for a relaxed SrMgAl2Os crystal.

Results
Total magnetic moment, μB/cell: 0.00
E_tot, eV/atom: -4.627
D(E_F), states/eV/cell: 1.4

Lattice parameters (Å, degrees): 4.825 4.825 5.067 90.00 90.00 90.00
Element x y z (fractional)
Sr1 0.000 0.000 0.000
Mg1 0.500 0.500 0.000
Al1 0.000 0.500 0.500
Al2 0.500 0.000 0.500
Os1 0.500 0.500 0.500

---

## Sr2MgAlOs (PBE)

Data for a relaxed Sr2MgAlOs crystal.

Results
Total magnetic moment, μB/cell: 0.01
E_tot, eV/atom: -3.403
D(E_F), states/eV/cell: 4.3

Lattice parameters (Å, degrees): 5.708 5.708 5.103 90.00 90.00 90.00
Element x y z (fractional)
Sr1 0.000 0.500 0.000
Sr2 0.500 0.000 0.000
Mg1 0.000 0.000 0.500
Al1 0.500 0.500 0.500
Os1 0.000 0.000 0.000

---

Please write out number 3 again, unchanged.
## MgAlOsRh (PBE)

Data for a relaxed MgAlOsRh crystal.

Results
Total magnetic moment, μB/cell: 0.00
E_tot, eV/atom: -6.321
D(E_F), states/eV/cell: 4.3

Lattice parameters (Å, degrees): 4.325 4.325 4.325 60.00 60.00 60.00
Element x y z (fractional)
Mg1 0.000 0.000 0.000
Al1 0.500 0.500 0.500
Os1 0.250 0.250 0.250
Rh1 0.750 0.750 0.750

---

Question: The lowest D(E_F) belongs to which entry?
Answer: SrMgAl2Os

---

Question: Which value of total magnetic moment does entry 4 give?
Answer: 1.59 μB/cell